Density functional theory data (PBE) for a geometry-optimized SmTiHg6 structure.

Calculated values
DFT formation energy: 0.6 eV/f.u.

a = 6.0249 Å, b = 6.0249 Å, c = 6.0249 Å
α = 91.16°, β = 91.16°, γ = 91.16°
Fractional positions:
Sm 0.0000 0.0000 0.0000
Ti 0.5000 0.5000 0.5000
Hg 0.1711 0.1711 0.5391
Hg 0.1711 0.5391 0.1711
Hg 0.4609 0.8289 0.8289
Hg 0.5391 0.1711 0.1711
Hg 0.8289 0.4609 0.8289
Hg 0.8289 0.8289 0.4609